Entry from Alexandria via LeMat-Bulk: a relaxed structure of HgGeP (GGA-PBE).

## Properties
Total DFT energy (no corrections) in eV/atom: -3.285
E_form in meV per atom: 158
Distance to the lowest polymorph of the same formula in meV per atom: 59.4

POSCAR file:
```
HgGeP
1.0
6.513 0.000 0.000
0.000 7.132 0.985
0.000 -1.131 5.831
Hg Ge P
4 4 4
Direct
0.282 0.926 0.742 Hg
0.718 0.074 0.258 Hg
0.782 0.074 0.758 Hg
0.218 0.926 0.242 Hg
0.921 0.672 0.675 Ge
0.421 0.328 0.825 Ge
0.079 0.328 0.325 Ge
0.579 0.672 0.175 Ge
0.064 0.364 0.730 P
0.436 0.364 0.230 P
0.564 0.636 0.770 P
0.936 0.636 0.270 P
```